## Cr2TcW (PBE)

Data for a relaxed structure of Cr2TcW.

Cell lengths 6.766, 6.766, 5.113 Å; angles 90.00, 90.00, 90.00 degrees
Space group I-42d (No. 122)
One atom of each set of equivalent atoms:
Cr 0.241 0.250 0.125 x8
Tc 0.000 0.000 0.000 x4
W 0.000 0.000 0.500 x4

Summary:
**Theoretical density**: 10.95 g cm⁻³
**Crystal system**: tetragonal
**DOS at the Fermi energy**: 4.994 states/eV/f.u.
**Energy of formation**: 0.8259 eV per atom